(1)
The following is a PBE-GGA calculation of a relaxed structure of K2YMn2Se4, from Alexandria.

a = 7.9937 Å, b = 7.9937 Å, c = 7.9666 Å
α = 109.11°, β = 109.11°, γ = 30.31°
Closest atoms and distances in Å follow each position.
Fractional positions:
K 0.1308 0.1308 0.0549  7 Se 3.44-3.50, 1 K 3.83, 1 Mn 3.85
K 0.8692 0.8692 0.9451  7 Se 3.44-3.50, 1 K 3.83, 1 Mn 3.85
Y 0.0000 0.0000 0.5000  6 Se 2.90-2.94
Mn 0.3209 0.3209 0.5161  4 Se 2.51-2.61
Mn 0.6791 0.6791 0.4839  4 Se 2.51-2.61
Se 0.2006 0.2006 0.6807  3 Mn 2.57-2.61
Se 0.4812 0.4812 0.7380  1 Mn 2.51
Se 0.5188 0.5188 0.2620  1 Mn 2.51
Se 0.7994 0.7994 0.3193  3 Mn 2.57-2.61

Calculated values
Crystal system = monoclinic
Raw formation energy = -105.79 kJ/mol of atoms

=====

(2)
The following is a PBE-GGA calculation of a relaxed structure of NdSi2Ag6, from Alexandria.

a = 4.2511 Å, b = 4.2511 Å, c = 9.3625 Å
α = 90.00°, β = 90.00°, γ = 90.00°
Closest atoms and distances in Å follow each position.
Fractional positions:
Nd 0.0000 0.0000 0.0000  8 Si 3.22, 8 Ag 3.39
Si 0.5000 0.5000 0.1232  1 Si 2.31
Si 0.5000 0.5000 0.8768  1 Si 2.31
Ag 0.0000 0.0000 0.5000  12 Ag 2.95-3.01
Ag 0.0000 0.5000 0.2819  2 Si 2.59
Ag 0.0000 0.5000 0.7181  2 Si 2.59
Ag 0.5000 0.0000 0.2819  2 Si 2.59
Ag 0.5000 0.0000 0.7181  2 Si 2.59
Ag 0.5000 0.5000 0.5000  12 Ag 2.95-3.01

Calculated values
Crystal system = tetragonal
Raw formation energy = -19.11 kJ/mol of atoms

=====

(3)
The following is a PBE-GGA calculation of a relaxed structure of Nd3Sm8Ho3, from Alexandria.

a = 9.7887 Å, b = 9.7887 Å, c = 9.7887 Å
α = 146.00°, β = 112.23°, γ = 78.03°
Closest atoms and distances in Å follow each position.
Fractional positions:
Nd 0.0000 0.0000 0.0000  4 Ho 3.61, 4 Nd 3.97, 4 Sm 4.02
Nd 0.1806 0.6806 0.5000  2 Ho 3.52, 8 Sm 3.67-3.76
Nd 0.8194 0.3194 0.5000  2 Ho 3.52, 8 Sm 3.67-3.76
Sm 0.1191 0.2788 0.8403  6 Sm 3.32-3.58, 2 Nd 3.67, 1 Ho 3.69
Sm 0.2365 0.8971 0.3394  4 Sm 3.13-3.38
Sm 0.4386 0.2788 0.1597  6 Sm 3.32-3.58, 2 Nd 3.67, 1 Ho 3.69
Sm 0.4423 0.1029 0.3394  4 Sm 3.13-3.38
Sm 0.5577 0.8971 0.6606  4 Sm 3.13-3.38
Sm 0.5614 0.7212 0.8403  6 Sm 3.32-3.58, 2 Nd 3.67, 1 Ho 3.69
Sm 0.7635 0.1029 0.6606  4 Sm 3.13-3.38
Sm 0.8809 0.7212 0.1597  6 Sm 3.32-3.58, 2 Nd 3.67, 1 Ho 3.69
Ho 0.2023 0.5000 0.7023  1 Ho 3.25, 4 Nd 3.52-3.61, 4 Sm 3.59
Ho 0.5000 0.5000 0.0000  2 Ho 3.25
Ho 0.7977 0.5000 0.2977  1 Ho 3.25, 4 Nd 3.52-3.61, 4 Sm 3.59

Calculated values
DFT formation energy = 0.1012 eV per atom
Crystal system = orthorhombic

=====

(4)
The following is a PBE-GGA calculation of a relaxed structure of CoPtPb2, from Alexandria.

a = 5.7469 Å, b = 5.7469 Å, c = 5.7469 Å
α = 138.93°, β = 138.93°, γ = 59.48°
Closest atoms and distances in Å follow each position.
Fractional positions:
Co 0.0000 0.0000 0.0000  4 Pb 2.85
Pt 0.7500 0.2500 0.5000  4 Pb 2.85
Pb 0.2500 0.7500 0.5000  4 Pt 2.85
Pb 0.5000 0.5000 0.0000  4 Co 2.85

Calculated values
DFT formation energy = 0.3789 eV per atom
Crystal system = tetragonal

=====

(5)
The following is a PBE-GGA calculation of a relaxed structure of Np2U2Te2Se5, from Alexandria.

a = 13.5846 Å, b = 13.5846 Å, c = 13.5846 Å
α = 156.88°, β = 156.88°, γ = 32.93°
Closest atoms and distances in Å follow each position.
Fractional positions:
Np 0.1648 0.1648 0.0000  4 Se 3.04, 1 Te 3.05
Np 0.8352 0.8352 0.0000  4 Se 3.04, 1 Te 3.05
U 0.3964 0.3964 0.0000  5 Se 2.70-2.73, 1 Te 2.99
U 0.6036 0.6036 0.0000  5 Se 2.70-2.73, 1 Te 2.99
Te 0.2818 0.2818 0.0000  1 U 2.99, 1 Np 3.05
Te 0.7182 0.7182 0.0000  1 U 2.99, 1 Np 3.05
Se 0.1133 0.6133 0.5000  2 U 2.73, 2 Np 3.04
Se 0.3867 0.8867 0.5000  2 U 2.73, 2 Np 3.04
Se 0.5000 0.5000 0.0000  2 U 2.70
Se 0.6133 0.1133 0.5000  2 U 2.73, 2 Np 3.04
Se 0.8867 0.3867 0.5000  2 U 2.73, 2 Np 3.04

Calculated values
Crystal system = tetragonal
Raw formation energy = -78.16 kJ/mol of atoms

=====

(6)
The following is a PBE-GGA calculation of a relaxed structure of UTcMo2, from Alexandria.

a = 4.5886 Å, b = 4.5886 Å, c = 4.5886 Å
α = 60.00°, β = 60.00°, γ = 60.00°
Closest atoms and distances in Å follow each position.
Fractional positions:
U 0.0000 0.0000 0.0000  8 Mo 2.81
Tc 0.5000 0.5000 0.5000  8 Mo 2.81
Mo 0.2500 0.2500 0.2500  4 Tc 2.81, 4 U 2.81
Mo 0.7500 0.7500 0.7500  4 Tc 2.81, 4 U 2.81

Calculated values
Offset from the most stable computed form = 79.2 meV/atom
DFT formation energy = 0.2360 eV per atom
Crystal system = cubic

=====

E_tot values, unit eV/atom, following the record order: -5.64, -3.83, -4.60, -4.76, -7.37, -10.59.